*P*
Here is crystalline KBeV at its relaxed geometry from the Alexandria database. Energies are from GGA-PBE.

Values from the calculation:
magnetic moment = 9.490 μB per cell
calculated density = 1.31 Mg/m³
calculated volume = 251.6 Å³ per cell

```
KBeV
1.0
5.512 0.000 0.000
-2.756 4.774 0.000
0.000 0.000 9.559
K Be V
2 2 2
Cartesian
0.000 3.183 2.390 K
2.756 1.591 7.170 K
0.000 0.000 2.390 Be
0.000 0.000 7.170 Be
0.000 0.000 0.000 V
0.000 0.000 4.780 V
```

=====

*Q*
Here is crystalline KBeV at its relaxed geometry from the Alexandria database. Energies are from GGA-PBE.

Values from the calculation:
magnetic moment = 0.513 μB per cell
calculated density = 2.26 Mg/m³
calculated volume = 290.8 Å³ per cell

```
KBeV
1.0
8.673 0.000 0.000
0.000 2.870 0.000
0.000 0.000 11.687
K Be V
4 4 4
Cartesian
0.567 0.717 1.932 K
3.770 2.152 7.775 K
4.903 0.717 3.912 K
8.106 2.152 9.755 K
1.807 2.152 4.904 Be
2.530 0.717 10.748 Be
6.143 2.152 0.939 Be
6.866 0.717 6.783 Be
0.600 0.717 6.467 V
3.737 2.152 0.624 V
4.936 0.717 11.063 V
8.073 2.152 5.219 V
```

=====

*R*
Here is crystalline KBeV at its relaxed geometry from the Alexandria database. Energies are from GGA-PBE.

Values from the calculation:
magnetic moment = 7.731 μB per cell
calculated density = 1.97 Mg/m³
calculated volume = 166.9 Å³ per cell

```
KBeV
1.0
4.160 0.000 0.000
-2.080 3.603 0.000
0.000 0.000 11.136
K Be V
2 2 2
Cartesian
0.000 0.000 0.000 K
0.000 0.000 5.568 K
0.000 2.402 2.784 Be
2.080 1.201 8.352 Be
0.000 2.402 8.352 V
2.080 1.201 2.784 V
```

=====

*S*
Here is crystalline KBeV at its relaxed geometry from the Alexandria database. Energies are from GGA-PBE.

Values from the calculation:
magnetic moment = 0.000 μB per cell
calculated density = 2.20 Mg/m³
calculated volume = 149.4 Å³ per cell

```
KBeV
1.0
3.878 0.000 0.000
-1.937 3.361 0.000
-1.837 -1.123 11.465
K Be V
2 2 2
Cartesian
0.000 0.000 0.000 K
-0.002 0.001 7.443 K
0.000 0.006 3.724 Be
0.000 2.247 3.723 Be
1.939 1.126 2.723 V
1.939 1.126 4.724 V
```

=====

According to the calculations, the structures order from most to least stable as *S*, *Q*, *R*, *P*.